Record 1
# Dy2YFe7Ni2

A relaxed structure of Dy2YFe7Ni2 (GGA-PBE, the Open Quantum Materials Database).

a b c (Å): 8.7203 8.7203 8.7203
angles (deg): 33.38 33.38 33.38
Closest atoms and distances in Å follow each position.
Fractional positions:
Dy  0.1419  0.1419  0.1419  12 Fe 2.91-3.07, 3 Dy 3.14
Dy  0.8581  0.8581  0.8581  12 Fe 2.91-3.07, 3 Dy 3.14
Fe  0.5815  0.5815  0.0831  2 Ni 2.47-2.50, 5 Fe 2.50-2.54
Fe  0.9169  0.4185  0.4185  2 Ni 2.47-2.50, 5 Fe 2.50-2.54
Fe  0.4185  0.9169  0.4185  2 Ni 2.47-2.50, 5 Fe 2.50-2.54
Fe  0.5000  0.5000  0.5000  6 Fe 2.54
Fe  0.5815  0.0831  0.5815  2 Ni 2.47-2.50, 5 Fe 2.50-2.54
Fe  0.0831  0.5815  0.5815  2 Ni 2.47-2.50, 5 Fe 2.50-2.54
Fe  0.4185  0.4185  0.9169  2 Ni 2.47-2.50, 5 Fe 2.50-2.54
Ni  0.3325  0.3325  0.3325  6 Fe 2.47-2.50
Ni  0.6675  0.6675  0.6675  6 Fe 2.47-2.50
Y  0.0000  0.0000  0.0000  6 Ni 2.89, 12 Fe 3.22

**Size of the total moment**: 14.39 μB per formula unit
**SG**: R-3m
**E_form**: -0.13 eV/atom

Record 2
# CuSiMo4N2

A relaxed structure of CuSiMo4N2 (GGA-PBE, the Open Quantum Materials Database).

a b c (Å): 2.8899 2.8899 13.8349
angles (deg): 90.00 90.00 120.00
Closest atoms and distances in Å follow each position.
Fractional positions:
Cu  0.0000  0.0000  0.0000  6 Mo 2.75, 6 Cu 2.89
Mo  0.6667  0.3333  0.1579  3 N 2.15
Mo  0.0000  0.0000  0.3559  3 N 2.17
Mo  0.0000  0.0000  0.6441  3 N 2.17
Mo  0.6667  0.3333  0.8421  3 N 2.15
N  0.3333  0.6667  0.2554  6 Mo 2.15-2.17
N  0.3333  0.6667  0.7446  6 Mo 2.15-2.17
Si  0.6667  0.3333  0.5000  6 Mo 2.60, 6 Si 2.89

**Size of the total moment**: 0.00 μB per formula unit
**SG**: P-6m2

Record 3
# FeSeI7

A relaxed structure of FeSeI7 (GGA-PBE, the Open Quantum Materials Database).

a b c (Å): 7.3286 7.2560 16.0687
angles (deg): 90.00 102.66 90.00
Closest atoms and distances in Å follow each position.
Fractional positions:
Fe  0.5487  0.4981  0.1420  4 I 2.52-2.60
Fe  0.5487  0.5019  0.6420  4 I 2.52-2.60
I  0.3179  0.3552  0.0114  1 Fe 2.60
I  0.5118  0.8434  0.1355  1 Fe 2.52
I  0.8716  0.3800  0.1373  1 Fe 2.53
I  0.1146  0.8975  0.2604  1 Se 2.61
I  0.4839  0.3738  0.2803  1 Fe 2.54
I  0.0645  0.3409  0.4093  1 Se 2.71
I  0.7308  0.8890  0.4124  1 Se 2.59
I  0.3179  0.6448  0.5114  1 Fe 2.60
I  0.5118  0.1566  0.6355  1 Fe 2.52
I  0.8716  0.6200  0.6373  1 Fe 2.53
I  0.1146  0.1025  0.7604  1 Se 2.61
I  0.4839  0.6262  0.7803  1 Fe 2.54
I  0.0645  0.6591  0.9093  1 Se 2.71
I  0.7308  0.1110  0.9124  1 Se 2.59
Se  0.8530  0.0938  0.3043  3 I 2.59-2.71
Se  0.8529  0.9062  0.8043  3 I 2.59-2.71

**Size of the total moment**: 4.97 μB per formula unit
**SG**: Pc

Record order is preserved below.
Total DFT energy (no corrections): -7.209, -8.645, -2.571 eV per atom